TaBe2Pb | PBEsol | relaxed

Lattice parameters (Å, degrees): 5.7804 6.9852 3.0023 90.00 90.00 90.00
Space group Cmmm (No. 65)
Unique sites:
Ta (0.0000, 0.0000, 0.0000) x2
Be (0.2500, 0.2500, 0.5000) x4
Pb (0.0000, 0.5000, 0.0000) x2

Summary:
magnetization = 0.00 Bohr magnetons per cell
calculated total energy = -5.5840 eV per atom
ΔH_f (0 K) = 0.55 eV per atom
DOS at the Fermi energy = 2.85 states/eV/cell